# 1
The following is a PBE-GGA calculation of a relaxed ThMg2Cd4 crystal, from Alexandria.

Unit cell a=11.0668 b=11.0668 c=11.0668 alpha=163.19 beta=154.66 gamma=30.57
With the nearest neighbours (Å) after each atom.
Atoms (fractional coordinates):
Th: 0.0000 0.0000 0.0000  2 Th 3.24, 8 Cd 3.36
Mg: 0.2915 0.7915 0.5000  7 Cd 2.97-3.21, 2 Mg 3.24
Mg: 0.7085 0.2085 0.5000  7 Cd 2.97-3.21, 2 Mg 3.24
Cd: 0.1526 0.6526 0.5000  4 Cd 2.90-3.24, 5 Mg 2.97-3.15
Cd: 0.4216 0.4216 0.0000  4 Cd 2.90-3.24, 2 Mg 3.21
Cd: 0.5784 0.5784 0.0000  4 Cd 2.90-3.24, 2 Mg 3.21
Cd: 0.8474 0.3474 0.5000  4 Cd 2.90-3.24, 5 Mg 2.97-3.15

Calculated values
- DFT total energy: -2.1469 eV/atom
- ΔE_f: -0.108 eV/atom
- N(E_F): 0.56 states/eV per atom

=====

# 2
The following is a PBE-GGA calculation of a relaxed CeSmHo3 crystal, from Alexandria.

Unit cell a=7.0795 b=3.5500 c=24.8904 alpha=90.00 beta=90.00 gamma=90.00
With the nearest neighbours (Å) after each atom.
Atoms (fractional coordinates):
Ce: 0.1228 0.2500 0.1516  8 Ho 3.50-3.55, 2 Sm 3.52, 2 Ce 3.55
Ce: 0.3772 0.7500 0.6516  8 Ho 3.50-3.55, 2 Sm 3.52, 2 Ce 3.55
Ce: 0.6228 0.2500 0.3484  8 Ho 3.50-3.55, 2 Sm 3.52, 2 Ce 3.55
Ce: 0.8772 0.7500 0.8484  8 Ho 3.50-3.55, 2 Sm 3.52, 2 Ce 3.55
Sm: 0.1305 0.2500 0.5518  6 Ho 3.48-3.60, 2 Ce 3.52, 4 Sm 3.55-3.64
Sm: 0.3695 0.7500 0.0518  6 Ho 3.48-3.60, 2 Ce 3.52, 4 Sm 3.55-3.64
Sm: 0.6305 0.2500 0.9482  6 Ho 3.48-3.60, 2 Ce 3.52, 4 Sm 3.55-3.64
Sm: 0.8695 0.7500 0.4482  6 Ho 3.48-3.60, 2 Ce 3.52, 4 Sm 3.55-3.64
Ho: 0.1214 0.2500 0.9478  4 Sm 3.48-3.60, 2 Ce 3.50, 6 Ho 3.52-3.59
Ho: 0.1240 0.2500 0.3495  8 Ho 3.52-3.55, 2 Sm 3.52, 2 Ce 3.53-3.55
Ho: 0.1269 0.2500 0.7497  4 Ce 3.50-3.51, 8 Ho 3.52-3.55
Ho: 0.3731 0.7500 0.2497  4 Ce 3.50-3.51, 8 Ho 3.52-3.55
Ho: 0.3760 0.7500 0.8495  8 Ho 3.52-3.55, 2 Sm 3.52, 2 Ce 3.53-3.55
Ho: 0.3786 0.7500 0.4478  4 Sm 3.48-3.60, 2 Ce 3.50, 6 Ho 3.52-3.59
Ho: 0.6214 0.2500 0.5522  4 Sm 3.48-3.60, 2 Ce 3.50, 6 Ho 3.52-3.59
Ho: 0.6240 0.2500 0.1505  8 Ho 3.52-3.55, 2 Sm 3.52, 2 Ce 3.53-3.55
Ho: 0.6269 0.2500 0.7503  4 Ce 3.50-3.51, 8 Ho 3.52-3.55
Ho: 0.8731 0.7500 0.2503  4 Ce 3.50-3.51, 8 Ho 3.52-3.55
Ho: 0.8760 0.7500 0.6505  8 Ho 3.52-3.55, 2 Sm 3.52, 2 Ce 3.53-3.55
Ho: 0.8786 0.7500 0.0522  4 Sm 3.48-3.60, 2 Ce 3.50, 6 Ho 3.52-3.59

Calculated values
- DFT total energy: -4.8272 eV/atom
- ΔE_f: 0.050 eV/atom
- Energy relative to the lowest polymorph listed for this composition: 0 meV/atom
- N(E_F): 1.72 states/eV per atom

=====

# 3
The following is a PBE-GGA calculation of a relaxed Al2ZnGa2 crystal, from Alexandria.

Unit cell a=6.3417 b=5.0187 c=11.2776 alpha=90.00 beta=90.00 gamma=90.00
With the nearest neighbours (Å) after each atom.
Atoms (fractional coordinates):
Al: 0.0707 0.2500 0.2326  2 Zn 2.62-2.67, 4 Ga 2.84-2.93
Al: 0.1326 0.2500 0.6550  5 Ga 2.60-2.81, 1 Zn 2.66
Al: 0.3674 0.7500 0.1550  5 Ga 2.60-2.81, 1 Zn 2.66
Al: 0.4293 0.7500 0.7326  2 Zn 2.62-2.67, 4 Ga 2.84-2.93
Al: 0.5707 0.2500 0.2674  2 Zn 2.62-2.67, 4 Ga 2.84-2.93
Al: 0.6326 0.2500 0.8450  5 Ga 2.60-2.81, 1 Zn 2.66
Al: 0.8674 0.7500 0.3450  5 Ga 2.60-2.81, 1 Zn 2.66
Al: 0.9293 0.7500 0.7674  2 Zn 2.62-2.67, 4 Ga 2.84-2.93
Zn: 0.2139 0.7500 0.9360  3 Al 2.62-2.67, 4 Ga 2.68-2.77
Zn: 0.2861 0.2500 0.4360  3 Al 2.62-2.67, 4 Ga 2.68-2.77
Zn: 0.7139 0.7500 0.5640  3 Al 2.62-2.67, 4 Ga 2.68-2.77
Zn: 0.7861 0.2500 0.0640  3 Al 2.62-2.67, 4 Ga 2.68-2.77
Ga: 0.0568 0.2500 0.8813  2 Al 2.60-2.72, 1 Ga 2.67, 3 Zn 2.68-2.77
Ga: 0.1355 0.7500 0.5431  1 Ga 2.67, 3 Zn 2.68-2.94, 5 Al 2.81-2.85
Ga: 0.3645 0.2500 0.0431  1 Ga 2.67, 3 Zn 2.68-2.94, 5 Al 2.81-2.85
Ga: 0.4432 0.7500 0.3813  2 Al 2.60-2.72, 1 Ga 2.67, 3 Zn 2.68-2.77
Ga: 0.5568 0.2500 0.6187  2 Al 2.60-2.72, 1 Ga 2.67, 3 Zn 2.68-2.77
Ga: 0.6355 0.7500 0.9569  1 Ga 2.67, 3 Zn 2.68-2.94, 5 Al 2.81-2.85
Ga: 0.8645 0.2500 0.4569  1 Ga 2.67, 3 Zn 2.68-2.94, 5 Al 2.81-2.85
Ga: 0.9432 0.7500 0.1187  2 Al 2.60-2.72, 1 Ga 2.67, 3 Zn 2.68-2.77

Calculated values
- DFT total energy: -2.8763 eV/atom
- ΔE_f: 0.086 eV/atom
- Energy relative to the lowest polymorph listed for this composition: 0 meV/atom
- N(E_F): 0.25 states/eV per atom